Record 1
Computed, not measured: crystalline PmErN at its relaxed geometry at the PBE-GGA level of DFT.

Cell and atoms, written as extended XYZ:
```
12
Lattice="5.929 0.000 0.000 0.000 3.551 0.000 0.000 0.000 12.182" Properties=species:S:1:pos:R:3 pbc="T T T"
N 5.754 0.888 7.466
N 3.139 0.888 1.375
N 0.175 2.663 4.716
N 2.790 2.663 10.807
Er 4.593 2.663 6.503
Er 4.300 2.663 0.412
Er 1.629 0.888 11.769
Er 1.336 0.888 5.679
Pm 4.222 0.888 9.519
Pm 1.258 2.663 8.753
Pm 1.706 2.663 2.662
Pm 4.671 0.888 3.428
```

The energy relative to the lowest polymorph listed for this composition is 0.000 eV per atom. The crystal system is orthorhombic.



Record 2
Computed, not measured: crystalline PmEr4N5 at its relaxed geometry at the PBE-GGA level of DFT.

Cell and atoms, written as extended XYZ:
```
10
Lattice="3.437 0.000 -0.484 -0.068 3.436 -0.484 0.009 0.009 12.502" Properties=species:S:1:pos:R:3 pbc="T T T"
Er 2.698 2.752 6.705
Er 2.033 2.074 1.988
Er 1.345 1.372 9.545
Er 0.680 0.694 4.828
Pm 0.000 0.000 0.000
N 2.364 2.411 4.335
N 0.351 0.358 2.489
N 3.027 3.088 9.045
N 1.684 1.718 -0.484
N 1.014 1.035 7.198
```

The crystal system is tetragonal.



Record 3
Computed, not measured: crystalline PmEr3N at its relaxed geometry at the PBE-GGA level of DFT.

Cell and atoms, written as extended XYZ:
```
5
Lattice="-3.555 1.508 -3.070 -3.420 -1.622 3.164 -0.042 4.408 2.215" Properties=species:S:1:pos:R:3 pbc="T T T"
Pm -3.509 2.147 1.155
Er -1.778 0.754 -1.535
Er -0.021 2.204 1.107
Er -1.710 -0.811 1.582
N 0.000 0.000 0.000
```

The crystal system is cubic.



Record 4
Computed, not measured: crystalline PmErN at its relaxed geometry at the PBE-GGA level of DFT.

Cell and atoms, written as extended XYZ:
```
3
Lattice="-1.968 -2.493 1.512 3.412 0.279 0.810 -1.404 3.884 4.577" Properties=species:S:1:pos:R:3 pbc="T T T"
Er 0.855 1.468 3.534
Pm -0.146 0.403 0.475
N -0.669 -0.201 2.891
```

The energy relative to the lowest polymorph listed for this composition is 0.011 eV per atom. The crystal system is trigonal.



Record 5
Computed, not measured: crystalline PmErN at its relaxed geometry at the PBE-GGA level of DFT.

Cell and atoms, written as extended XYZ:
```
3
Lattice="4.294 0.000 0.000 2.147 3.719 0.000 2.147 1.240 3.506" Properties=species:S:1:pos:R:3 pbc="T T T"
Er 0.000 0.000 0.000
N 2.147 1.240 0.876
Pm 4.294 2.479 1.753
```

The energy relative to the lowest polymorph listed for this composition is 0.697 eV per atom. The crystal system is cubic.



Record 6
Computed, not measured: crystalline PmErN2 at its relaxed geometry at the PBE-GGA level of DFT.

Cell and atoms, written as extended XYZ:
```
4
Lattice="3.521 0.000 0.000 1.761 3.049 0.000 1.761 1.016 5.757" Properties=species:S:1:pos:R:3 pbc="T T T"
N 5.282 3.049 4.382
N 1.761 1.016 1.374
Er 0.000 0.000 0.000
Pm 3.521 2.033 2.878
```

The energy relative to the lowest polymorph listed for this composition is 0.000 eV per atom. The crystal system is trigonal.



Record 7
Computed, not measured: crystalline PmErN2 at its relaxed geometry at the PBE-GGA level of DFT.

Cell and atoms, written as extended XYZ:
```
4
Lattice="3.459 0.000 0.000 -1.730 2.996 0.001 0.000 -0.004 6.093" Properties=species:S:1:pos:R:3 pbc="T T T"
Pm -0.865 1.496 3.047
N 0.865 2.494 4.637
N 0.865 0.498 1.457
Er -0.865 1.498 0.001
```

The energy relative to the lowest polymorph listed for this composition is 0.350 eV per atom. The crystal system is trigonal.



Record 8
Computed, not measured: crystalline Pm3ErN at its relaxed geometry at the PBE-GGA level of DFT.

Cell and atoms, written as extended XYZ:
```
5
Lattice="5.097 0.000 0.000 0.000 5.097 0.000 0.000 0.000 5.097" Properties=species:S:1:pos:R:3 pbc="T T T"
Pm 2.548 0.000 0.000
Pm 0.000 2.548 0.000
Pm 0.000 0.000 2.548
Er 2.548 2.548 2.548
N 0.000 0.000 0.000
```

The crystal system is cubic.



Record 9
Computed, not measured: crystalline PmErN2 at its relaxed geometry at the PBE-GGA level of DFT.

Cell and atoms, written as extended XYZ:
```
4
Lattice="3.463 0.000 0.000 1.732 2.999 0.000 1.732 1.000 6.013" Properties=species:S:1:pos:R:3 pbc="T T T"
N 1.732 1.000 1.597
N 1.732 1.000 4.522
Pm 5.195 2.999 5.927
Er 3.464 2.000 2.989
```

The energy relative to the lowest polymorph listed for this composition is 0.258 eV per atom. The crystal system is trigonal.



Record 10
Computed, not measured: crystalline Pm4ErN5 at its relaxed geometry at the PBE-GGA level of DFT.

Cell and atoms, written as extended XYZ:
```
10
Lattice="-4.480 2.202 1.015 -2.569 -1.796 5.341 0.427 5.287 3.197" Properties=species:S:1:pos:R:3 pbc="T T T"
Pm -2.512 4.421 5.112
Pm -1.279 2.218 2.548
Pm -5.421 3.512 7.023
Pm -4.188 1.310 4.459
N -1.898 0.142 3.974
N -2.154 1.058 0.488
N -3.098 2.411 6.539
N -4.681 5.529 5.570
N -3.481 3.260 3.004
Er -0.063 0.031 0.014
```

The crystal system is tetragonal.



Record 11
Computed, not measured: crystalline Pm2Er3N4 at its relaxed geometry at the PBE-GGA level of DFT.

Cell and atoms, written as extended XYZ:
```
9
Lattice="3.382 0.000 0.832 1.493 5.753 1.223 -0.161 0.529 7.944" Properties=species:S:1:pos:R:3 pbc="T T T"
Pm 2.212 1.365 5.591
Pm 2.503 4.917 4.409
Er 0.000 0.000 0.000
Er 3.441 3.890 7.885
Er 1.273 2.392 2.114
N 3.074 4.060 2.085
N 1.640 2.222 7.915
N 1.891 5.520 6.896
N 2.823 0.762 3.104
```

The crystal system is monoclinic.



Record 12
Computed, not measured: crystalline PmEr2N3 at its relaxed geometry at the PBE-GGA level of DFT.

Cell and atoms, written as extended XYZ:
```
12
Lattice="-3.408 -4.906 0.956 1.412 1.649 -5.647 5.366 -2.135 1.798" Properties=species:S:1:pos:R:3 pbc="T T T"
Er 0.078 -4.881 0.754
Er 3.285 -0.521 -3.638
Er 1.692 -2.687 -1.456
Er 5.171 -2.671 -1.648
N 1.665 -0.302 -1.856
N 3.311 -2.905 -3.238
N 1.664 -5.148 -1.064
N 3.500 -2.380 0.132
N -0.095 -2.965 -3.074
N 0.064 -2.477 0.420
Pm 1.411 1.648 -5.645
Pm -1.801 -2.720 -1.246
```

The crystal system is monoclinic.



Total magnetic moment readings, ordered: 1.05 0.00 0.32 0.63 0.00 0.00 0.00 0.00 0.00 0.00 0.00 0.00 μB/cell
Uncorrected energy readings, ordered: -82.46 -81.54 -29.31 -20.58 -18.53 -32.31 -30.91 -29.52 -31.28 -80.08 -69.49 -97.44 eV per cell